P) Material: LiCr2Co
Method: DFT, GGA-PBE
State: relaxed

Summary:
mass density	6.37	g/cm3

abc: 3.308 3.308 8.088
angles: 90.00 90.00 90.00
Space group I4/mmm (No. 139)
Inequivalent atoms, fractional coordinates:
Li 0.000 0.000 0.000
Cr 0.000 0.500 0.250
Co 0.000 0.000 0.500

=====

Q) Material: LiCr2Co
Method: DFT, GGA-PBE
State: relaxed

Summary:
mass density	5.95	g/cm3

abc: 2.5014 2.5014 26.2516
angles: 90.00 90.00 120.00
Space group R3m (No. 160, hexagonal axes)
Inequivalent atoms, fractional coordinates:
Li 0.0000 0.0000 0.0000
Cr 0.0000 0.0000 0.5074
Cr 0.0000 0.0000 0.7574
Co 0.0000 0.0000 0.2490

=====

R) Material: LiCr2Co
Method: DFT, GGA-PBE
State: relaxed

Summary:
mass density	6.15	g/cm3

abc: 2.312 3.930 5.047
angles: 90.00 90.00 90.00
Space group Pmm2 (No. 25)
Inequivalent atoms, fractional coordinates:
Li 0.000 0.000 0.000
Cr 0.000 0.000 0.493
Cr 0.500 0.500 0.739
Co 0.500 0.500 0.225

=====

S) Material: LiCr2Co
Method: DFT, GGA-PBE
State: relaxed

Summary:
mass density	5.86	g/cm3

abc: 2.425 2.425 8.193
angles: 90.00 90.00 90.00
Space group P4/mmm (No. 123)
Inequivalent atoms, fractional coordinates:
Li 0.000 0.000 0.000
Cr 0.500 0.500 0.281
Co 0.000 0.000 0.500

=====

Relative to the most stable structure, the computed energies are P) 0.096; Q) 0.000; R) 0.074; S) 0.066, all in eV/atom.

=====

P) Material: LiCrCo2
Method: DFT, GGA-PBE
State: relaxed

Summary:
mass density	6.64	g/cm3

abc: 8.556 2.444 4.300
angles: 90.00 100.55 90.00
Space group Cm (No. 8)
Inequivalent atoms, fractional coordinates:
Li 0.000 0.000 0.000
Cr 0.273 0.500 0.316
Co 0.021 0.500 0.510
Co 0.244 0.000 0.804

=====

Q) Material: LiCrCo2
Method: DFT, GGA-PBE
State: relaxed

Summary:
mass density	6.92	g/cm3

abc: 5.538 5.538 5.538
angles: 90.00 90.00 90.00
Space group Fm-3m (No. 225)
Inequivalent atoms, fractional coordinates:
Li 0.000 0.000 0.000
Cr 0.000 0.000 0.500
Co 0.250 0.250 0.250

=====

R) Material: LiCrCo2
Method: DFT, GGA-PBE
State: relaxed

Summary:
mass density	6.22	g/cm3

abc: 2.437 2.437 7.940
angles: 90.00 90.00 90.00
Space group P4mm (No. 99)
Inequivalent atoms, fractional coordinates:
Li 0.000 0.000 0.000
Cr 0.500 0.500 0.706
Co 0.000 0.000 0.477
Co 0.500 0.500 0.257

=====

S) Material: LiCrCo2
Method: DFT, GGA-PBE
State: relaxed

Summary:
mass density	6.57	g/cm3

abc: 2.621 2.621 6.507
angles: 90.00 90.00 90.00
Space group P4/mmm (No. 123)
Inequivalent atoms, fractional coordinates:
Li 0.000 0.000 0.000
Cr 0.000 0.000 0.500
Co 0.500 0.500 0.266

=====

Relative to the most stable structure, the computed energies are P) 0.055; Q) 0.000; R) 0.081; S) 0.010, all in eV/atom.